# 1
# PmTh2PtN4 GGA-PBE relaxed
data_PmTh2PtN4
_chemical_formula_sum 'Pm4 Th8 Pt4 N16'
_cell_length_a 3.545
_cell_length_b 12.060
_cell_length_c 12.201
_cell_angle_alpha 90.00
_cell_angle_beta 90.00
_cell_angle_gamma 90.00
_space_group_name_H-M_alt 'C m c m'
_space_group_IT_number 63
_space_group_name_Hall '-C 2c 2'
loop_
_atom_site_label
_atom_site_type_symbol
_atom_site_fract_x
_atom_site_fract_y
_atom_site_fract_z
_atom_site_occupancy
Pm1 Pm 0.000 0.114 0.250 1
Th1 Th 0.000 0.371 0.057 1
Pt1 Pt 0.000 0.150 0.750 1
N1 N 0.000 0.000 0.000 1
N2 N 0.000 0.276 0.616 1
N3 N 0.000 0.461 0.250 1
# formation energy from raw total energies	-820.7	kJ/mol of formula units
# theoretical density	11.0	g cm⁻³


# 2
# K2BeBr GGA-PBE relaxed
data_K2BeBr
_chemical_formula_sum 'K2 Be1 Br1'
_cell_length_a 3.973
_cell_length_b 4.059
_cell_length_c 8.228
_cell_angle_alpha 90.00
_cell_angle_beta 90.05
_cell_angle_gamma 90.00
_space_group_name_H-M_alt 'P 1 2/m 1'
_space_group_IT_number 10
loop_
_space_group_symop_operation_xyz
'x,y,z'
'-x,-y,-z'
'-x,y,-z'
'x,-y,z'
loop_
_atom_site_label
_atom_site_type_symbol
_atom_site_fract_x
_atom_site_fract_y
_atom_site_fract_z
_atom_site_occupancy
K1 K 0.000 0.000 0.238 1
Be1 Be 0.500 0.500 0.500 1
Br1 Br 0.500 0.500 0.000 1
# formation energy from raw total energies	-77.9	kJ/mol of formula units
# theoretical density	2.1	g cm⁻³


# 3
# Ce2TmIn2Hg2 GGA-PBE relaxed
data_Ce2TmIn2Hg2
_chemical_formula_sum 'Ce6 Tm3 In6 Hg6'
_cell_length_a 4.8265
_cell_length_b 4.8265
_cell_length_c 26.9695
_cell_angle_alpha 90.00
_cell_angle_beta 90.00
_cell_angle_gamma 120.00
_space_group_name_H-M_alt 'R -3 m'
_space_group_IT_number 166
_space_group_name_Hall '-R 3 2"'
loop_
_atom_site_label
_atom_site_type_symbol
_atom_site_fract_x
_atom_site_fract_y
_atom_site_fract_z
_atom_site_occupancy
Ce1 Ce 0.0000 0.0000 0.1421 1
Tm1 Tm 0.0000 0.0000 0.0000 1
In1 In 0.0000 0.0000 0.2741 1
Hg1 Hg 0.0000 0.0000 0.4206 1
# theoretical density	9.9	g cm⁻³
# formation energy	-0.20	eV/atom


# 4
# CoSb2P2 GGA-PBE relaxed
data_CoSb2P2
_chemical_formula_sum 'Co2 Sb4 P4'
_cell_length_a 5.509
_cell_length_b 5.509
_cell_length_c 6.700
_cell_angle_alpha 90.00
_cell_angle_beta 90.00
_cell_angle_gamma 90.00
_space_group_name_H-M_alt 'I 4/m m m'
_space_group_IT_number 139
_space_group_name_Hall '-I 4 2'
loop_
_atom_site_label
_atom_site_type_symbol
_atom_site_fract_x
_atom_site_fract_y
_atom_site_fract_z
_atom_site_occupancy
Co1 Co 0.000 0.000 0.000 1
Sb1 Sb 0.000 0.500 0.250 1
P1 P 0.000 0.000 0.330 1
# formation energy from raw total energies	207.2	kJ/mol of formula units
# theoretical density	6.0	g cm⁻³


# 5
# NdY4Al GGA-PBE relaxed
data_NdY4Al
_chemical_formula_sum 'Nd1 Y4 Al1'
_cell_length_a 3.585
_cell_length_b 3.585
_cell_length_c 14.066
_cell_angle_alpha 90.00
_cell_angle_beta 90.00
_cell_angle_gamma 90.00
_space_group_name_H-M_alt 'P 4/m m m'
_space_group_IT_number 123
_space_group_name_Hall '-P 4 2'
loop_
_atom_site_label
_atom_site_type_symbol
_atom_site_fract_x
_atom_site_fract_y
_atom_site_fract_z
_atom_site_occupancy
Nd1 Nd 0.000 0.000 0.000 1
Y1 Y 0.000 0.000 0.368 1
Y2 Y 0.500 0.500 0.183 1
Al1 Al 0.500 0.500 0.500 1
# theoretical density	4.8	g cm⁻³
# formation energy	-0.13	eV/atom


# 6
# Cs2CdIF6 GGA-PBE relaxed
data_Cs2CdIF6
_chemical_formula_sum 'Cs2 Cd1 I1 F6'
_cell_length_a 6.083
_cell_length_b 6.471
_cell_length_c 6.995
_cell_angle_alpha 110.98
_cell_angle_beta 112.85
_cell_angle_gamma 93.69
_space_group_name_H-M_alt 'P -1'
_space_group_IT_number 2
loop_
_space_group_symop_operation_xyz
'x,y,z'
'-x,-y,-z'
loop_
_atom_site_label
_atom_site_type_symbol
_atom_site_fract_x
_atom_site_fract_y
_atom_site_fract_z
_atom_site_occupancy
Cs1 Cs 0.234 0.240 0.482 1
Cd1 Cd 0.500 0.000 0.000 1
I1 I 0.000 0.500 0.000 1
F1 F 0.190 0.169 0.884 1
F2 F 0.285 0.785 0.134 1
F3 F 0.332 0.744 0.654 1
# formation energy from raw total energies	-1994.1	kJ/mol of formula units
# theoretical density	4.5	g cm⁻³